(1)
U4NbN5 | PBE | optimized geometry

Results
**Raw formation energy**: -12.857 eV per formula unit
**Magnetization**: 10.300 μB per cell

```
data_U4NbN5
_symmetry_space_group_name_H-M 'I 4/m'
_symmetry_Int_Tables_number 87
_symmetry_space_group_name_Hall '-I 4'
_cell_length_a 7.5512
_cell_length_b 7.5512
_cell_length_c 4.7910
_cell_angle_alpha 90.00
_cell_angle_beta 90.00
_cell_angle_gamma 90.00
loop_
_atom_site_label
_atom_site_type_symbol
_atom_site_fract_x
_atom_site_fract_y
_atom_site_fract_z
U1 U 0.1002 0.7013 0.0000
Nb1 Nb 0.0000 0.0000 0.5000
N1 N 0.0000 0.0000 0.0000
N2 N 0.0964 0.7109 0.5000
```

---

(2)
UNb2N3 | PBE | optimized geometry

Results
**Raw formation energy**: -6.902 eV per formula unit
**Magnetization**: 0.466 μB per cell

```
data_UNb2N3
_symmetry_space_group_name_H-M 'I m m m'
_symmetry_Int_Tables_number 71
_symmetry_space_group_name_Hall '-I 2 2'
_cell_length_a 3.1808
_cell_length_b 4.5960
_cell_length_c 9.8649
_cell_angle_alpha 90.00
_cell_angle_beta 90.00
_cell_angle_gamma 90.00
loop_
_atom_site_label
_atom_site_type_symbol
_atom_site_fract_x
_atom_site_fract_y
_atom_site_fract_z
U1 U 0.0000 0.0000 0.0000
Nb1 Nb 0.0000 0.0000 0.3271
N1 N 0.0000 0.5000 0.0000
N2 N 0.0000 0.5000 0.3282
```

---

(3)
UNbN3 | PBE | optimized geometry

Results
**Raw formation energy**: -5.497 eV per formula unit
**Magnetization**: 0.005 μB per cell

```
data_UNbN3
_symmetry_space_group_name_H-M 'C m c 21'
_symmetry_Int_Tables_number 36
_symmetry_space_group_name_Hall 'C 2c -2'
_cell_length_a 3.4472
_cell_length_b 13.2680
_cell_length_c 5.4661
_cell_angle_alpha 90.00
_cell_angle_beta 90.00
_cell_angle_gamma 90.00
loop_
_atom_site_label
_atom_site_type_symbol
_atom_site_fract_x
_atom_site_fract_y
_atom_site_fract_z
U1 U 0.0000 0.1758 0.0000
Nb1 Nb 0.0000 0.4594 0.9353
N1 N 0.0000 0.0274 0.1565
N2 N 0.0000 0.3109 0.7656
N3 N 0.0000 0.3785 0.2854
```